No. 1
Density functional theory data (PBE-GGA) for a geometry-optimized Lu2Sc2In5Co2 structure.

Lattice parameters (Å, degrees): 7.567 3.381 9.267 90.00 94.98 90.00
Atoms (fractional coordinates):
Lu 0.204 0.000 0.437
Lu 0.796 0.000 0.563
Sc 0.182 0.000 0.834
Sc 0.818 0.000 0.166
In 0.152 0.500 0.137
In 0.453 0.500 0.672
In 0.500 0.500 0.000
In 0.547 0.500 0.328
In 0.848 0.500 0.863
Co 0.075 0.500 0.638
Co 0.925 0.500 0.362

## Properties
- Total DFT energy (no corrections): -4.898 eV/atom
- V: 21.5 Å³ per atom

No. 2
Density functional theory data (PBE-GGA) for a geometry-optimized Nd2Ga5Ni3 structure.

Lattice parameters (Å, degrees): 8.446 8.446 8.446 107.16 85.91 140.93
Atoms (fractional coordinates):
Nd 0.138 0.225 0.363
Nd 0.362 0.725 0.086
Nd 0.638 0.275 0.914
Nd 0.862 0.775 0.637
Ga 0.036 0.750 0.286
Ga 0.093 0.665 0.758
Ga 0.250 0.250 0.000
Ga 0.407 0.165 0.572
Ga 0.464 0.750 0.714
Ga 0.536 0.250 0.286
Ga 0.593 0.835 0.428
Ga 0.750 0.750 0.000
Ga 0.907 0.335 0.242
Ga 0.964 0.250 0.714
Ni 0.141 0.902 0.044
Ni 0.250 0.750 0.500
Ni 0.359 0.402 0.761
Ni 0.641 0.598 0.239
Ni 0.750 0.250 0.500
Ni 0.859 0.098 0.956

## Properties
- Total DFT energy (no corrections): -4.742 eV/atom
- V: 17.5 Å³ per atom

No. 3
Density functional theory data (PBE-GGA) for a geometry-optimized HoErAg2Pb2 structure.

Lattice parameters (Å, degrees): 4.792 4.792 7.444 90.00 90.00 120.00
Atoms (fractional coordinates):
Ho 0.000 0.000 0.000
Er 0.000 0.000 0.500
Ag 0.333 0.667 0.181
Ag 0.667 0.333 0.680
Pb 0.333 0.667 0.777
Pb 0.667 0.333 0.278

## Properties
- Total DFT energy (no corrections): -4.086 eV/atom
- V: 24.7 Å³ per atom

No. 4
Density functional theory data (PBE-GGA) for a geometry-optimized Ta2Nb4Tl3N3 structure.

Lattice parameters (Å, degrees): 5.647 5.647 14.408 101.24 101.24 60.03
Atoms (fractional coordinates):
Ta 0.025 0.848 0.578
Ta 0.152 0.975 0.922
Ta 0.848 0.025 0.078
Ta 0.975 0.152 0.422
Nb 0.191 0.372 0.079
Nb 0.319 0.462 0.421
Nb 0.372 0.191 0.579
Nb 0.462 0.319 0.921
Nb 0.538 0.681 0.079
Nb 0.628 0.809 0.421
Nb 0.681 0.538 0.579
Nb 0.809 0.628 0.921
Tl 0.083 0.249 0.747
Tl 0.249 0.083 0.247
Tl 0.416 0.584 0.750
Tl 0.584 0.416 0.250
Tl 0.751 0.917 0.753
Tl 0.917 0.751 0.253
N 0.000 0.500 0.500
N 0.157 0.688 0.000
N 0.312 0.843 0.500
N 0.500 0.000 0.000
N 0.688 0.157 0.500
N 0.843 0.312 0.000

## Properties
- Total DFT energy (no corrections): -8.376 eV/atom
- V: 16.2 Å³ per atom

No. 5
Density functional theory data (PBE-GGA) for a geometry-optimized TlAsPdO structure.

Lattice parameters (Å, degrees): 4.294 6.354 5.758 90.00 90.00 90.00
Atoms (fractional coordinates):
Tl 0.000 0.194 0.000
Tl 0.000 0.806 0.500
As 0.500 0.399 0.812
As 0.500 0.601 0.312
Pd 0.500 0.223 0.429
Pd 0.500 0.777 0.929
O 0.000 0.159 0.407
O 0.000 0.841 0.907

## Properties
- Total DFT energy (no corrections): -4.391 eV/atom
- V: 19.6 Å³ per atom

No. 6
Density functional theory data (PBE-GGA) for a geometry-optimized ReNiGe structure.

Lattice parameters (Å, degrees): 4.115 4.115 4.115 60.00 60.00 60.00
Atoms (fractional coordinates):
Re 0.000 0.000 0.000
Ni 0.250 0.250 0.250
Ge 0.750 0.750 0.750

## Properties
- Total DFT energy (no corrections): -7.007 eV/atom
- V: 16.4 Å³ per atom